Record 1
{
  "formula": "La3BeSb",
  "functional": "PBE",
  "state": "relaxed",
  "polymorph_energy_ev_per_fu": 0.00,
  "rho_g_cm3": 5.79,
  "final_energy_ev_per_cell": -23.63,
  "e_form_raw_ev_per_atom": -0.2003,
  "space_group": "Pm-3m",
  "volume_a3_per_atom": 31.4,
  "lattice": [[5.396, 0.000, 0.000], [0.000, 5.396, 0.000], [0.000, 0.000, 5.396]],
  "species": ["La", "La", "La", "Be", "Sb"],
  "fractional_positions": [[0.000, 0.000, 0.500], [0.000, 0.500, 0.000], [0.500, 0.000, 0.000], [0.000, 0.000, 0.000], [0.500, 0.500, 0.500]]
}

***

Record 2
{
  "formula": "BeTlTe2F",
  "functional": "PBE",
  "state": "relaxed",
  "rho_g_cm3": 5.55,
  "final_energy_ev_per_cell": -12.75,
  "e_form_raw_ev_per_atom": 0.2999,
  "space_group": "P4/mmm",
  "volume_a3_per_atom": 29.2,
  "lattice": [[5.740, 0.000, 0.000], [0.000, 5.740, 0.000], [0.000, 0.000, 4.426]],
  "species": ["Be", "Tl", "Te", "Te", "F"],
  "fractional_positions": [[0.000, 0.000, 0.000], [0.500, 0.500, 0.500], [0.000, 0.500, 0.500], [0.500, 0.000, 0.500], [0.500, 0.500, 0.000]]
}

***

Record 3
{
  "formula": "NaLa2ZnRu",
  "functional": "PBE",
  "state": "relaxed",
  "rho_g_cm3": 5.12,
  "final_energy_ev_per_cell": -22.27,
  "delta_e_f_ev_per_atom": -0.110,
  "space_group": "P4/mmm",
  "volume_a3_per_atom": 30.3,
  "lattice": [[5.427, 0.000, 0.000], [0.000, 5.427, 0.000], [0.000, 0.000, 5.149]],
  "species": ["Na", "La", "La", "Zn", "Ru"],
  "fractional_positions": [[0.000, 0.000, 0.000], [0.000, 0.500, 0.500], [0.500, 0.000, 0.500], [0.500, 0.500, 0.000], [0.500, 0.500, 0.500]]
}

***

Record 4
{
  "formula": "NiRhAu2",
  "functional": "PBE",
  "state": "relaxed",
  "polymorph_energy_ev_per_fu": 0.43,
  "rho_g_cm3": 14.87,
  "final_energy_ev_per_cell": -18.92,
  "delta_e_f_ev_per_atom": 0.193,
  "space_group": "R-3m",
  "volume_a3_per_atom": 15.5,
  "lattice": [[1.415, 0.817, 8.942], [-1.415, 0.817, 8.942], [0.000, -1.634, 8.942]],
  "species": ["Ni", "Rh", "Au", "Au"],
  "fractional_positions": [[0.000, 0.000, 0.000], [0.500, 0.500, 0.500], [0.254, 0.254, 0.254], [0.746, 0.746, 0.746]]
}

***

Record 5
{
  "formula": "Rb2RePtI6",
  "functional": "PBE",
  "state": "relaxed",
  "rho_g_cm3": 5.85,
  "final_energy_ev_per_cell": -33.20,
  "e_form_raw_ev_per_atom": -0.3479,
  "space_group": "I4/mmm",
  "volume_a3_per_atom": 37.3,
  "lattice": [[-4.006, 4.006, 5.810], [4.006, -4.006, 5.810], [4.006, 4.006, -5.810]],
  "species": ["Rb", "Rb", "Re", "Pt", "I", "I", "I", "I", "I", "I"],
  "fractional_positions": [[0.250, 0.750, 0.500], [0.750, 0.250, 0.500], [0.000, 0.000, 0.000], [0.500, 0.500, 0.000], [0.241, 0.241, 0.000], [0.250, 0.250, 0.500], [0.250, 0.750, 0.000], [0.750, 0.250, 0.000], [0.750, 0.750, 0.500], [0.759, 0.759, 0.000]]
}

***

Record 6
{
  "formula": "KNpI5",
  "functional": "PBE",
  "state": "relaxed",
  "rho_g_cm3": 4.22,
  "final_energy_ev_per_cell": -56.77,
  "e_form_raw_ev_per_atom": -0.9426,
  "space_group": "C2/c",
  "volume_a3_per_atom": 51.1,
  "lattice": [[6.899, -4.689, 0.000], [6.899, 4.689, 0.000], [-4.806, 0.000, 11.063]],
  "species": ["K", "K", "Np", "Np", "I", "I", "I", "I", "I", "I", "I", "I", "I", "I"],
  "fractional_positions": [[0.034, 0.966, 0.750], [0.966, 0.034, 0.250], [0.500, 0.500, 0.000], [0.500, 0.500, 0.500], [0.121, 0.705, 0.000], [0.170, 0.399, 0.378], [0.295, 0.879, 0.500], [0.399, 0.170, 0.878], [0.423, 0.577, 0.750], [0.577, 0.423, 0.250], [0.601, 0.830, 0.122], [0.705, 0.121, 0.500], [0.830, 0.601, 0.622], [0.879, 0.295, 0.000]]
}

***

Record 7
{
  "formula": "SrOs2Ru",
  "functional": "PBE",
  "state": "relaxed",
  "polymorph_energy_ev_per_fu": 0.27,
  "rho_g_cm3": 13.56,
  "final_energy_ev_per_cell": -30.72,
  "delta_e_f_ev_per_atom": 0.673,
  "space_group": "P4/mmm",
  "volume_a3_per_atom": 17.4,
  "lattice": [[2.826, 0.000, 0.000], [0.000, 2.826, 0.000], [0.000, 0.000, 8.729]],
  "species": ["Sr", "Os", "Os", "Ru"],
  "fractional_positions": [[0.000, 0.000, 0.000], [0.500, 0.500, 0.296], [0.500, 0.500, 0.704], [0.000, 0.000, 0.500]]
}

***

Record 8
{
  "formula": "Cs4TcS5",
  "functional": "PBE",
  "state": "relaxed",
  "rho_g_cm3": 3.46,
  "final_energy_ev_per_cell": -42.22,
  "e_form_raw_ev_per_atom": -0.7805,
  "space_group": "I4",
  "volume_a3_per_atom": 37.9,
  "lattice": [[-5.263, 5.263, 3.417], [5.263, -5.263, 3.417], [5.263, 5.263, -3.417]],
  "species": ["Cs", "Cs", "Cs", "Cs", "Tc", "S", "S", "S", "S", "S"],
  "fractional_positions": [[0.109, 0.298, 0.407], [0.298, 0.891, 0.189], [0.702, 0.109, 0.811], [0.891, 0.702, 0.593], [0.589, 0.589, 0.000], [0.292, 0.563, 0.861], [0.431, 0.292, 0.729], [0.563, 0.702, 0.271], [0.702, 0.431, 0.139], [0.907, 0.907, 0.000]]
}

***

Record 9
{
  "formula": "CuSi2Au8",
  "functional": "PBE",
  "state": "relaxed",
  "rho_g_cm3": 14.52,
  "final_energy_ev_per_cell": -40.46,
  "e_form_raw_ev_per_atom": 0.0639,
  "space_group": "C2/m",
  "volume_a3_per_atom": 17.6,
  "lattice": [[4.226, -5.152, 0.000], [4.226, 5.152, 0.000], [-2.157, 0.000, 4.453]],
  "species": ["Cu", "Si", "Si", "Au", "Au", "Au", "Au", "Au", "Au", "Au", "Au"],
  "fractional_positions": [[0.000, 0.000, 0.000], [0.151, 0.849, 0.500], [0.849, 0.151, 0.500], [0.174, 0.451, 0.373], [0.252, 0.252, 0.831], [0.277, 0.723, 0.000], [0.451, 0.174, 0.373], [0.549, 0.826, 0.627], [0.723, 0.277, 0.000], [0.748, 0.748, 0.169], [0.826, 0.549, 0.627]]
}

***

Record 10
{
  "formula": "CaMg2Ni",
  "functional": "PBE",
  "state": "relaxed",
  "rho_g_cm3": 2.62,
  "final_energy_ev_per_cell": -11.05,
  "delta_e_f_ev_per_atom": -0.018,
  "space_group": "Cm",
  "volume_a3_per_atom": 23.3,
  "lattice": [[4.388, -2.100, 0.000], [4.388, 2.100, 0.000], [-2.829, 0.000, 5.060]],
  "species": ["Ca", "Mg", "Mg", "Ni"],
  "fractional_positions": [[0.000, 0.000, 0.000], [0.573, 0.573, 0.607], [0.810, 0.810, 0.367], [0.251, 0.251, 0.585]]
}

***

Record 11
{
  "formula": "CdNiP2",
  "functional": "PBE",
  "state": "relaxed",
  "rho_g_cm3": 6.19,
  "final_energy_ev_per_cell": -15.73,
  "delta_e_f_ev_per_atom": 0.446,
  "space_group": "I-4m2",
  "volume_a3_per_atom": 15.6,
  "lattice": [[-1.929, 1.929, 4.195], [1.929, -1.929, 4.195], [1.929, 1.929, -4.195]],
  "species": ["Cd", "Ni", "P", "P"],
  "fractional_positions": [[0.000, 0.000, 0.000], [0.250, 0.750, 0.500], [0.500, 0.500, 0.000], [0.750, 0.250, 0.500]]
}

***

Record 12
{
  "formula": "LiCeP2Rh7",
  "functional": "PBE",
  "state": "relaxed",
  "rho_g_cm3": 9.47,
  "final_energy_ev_per_cell": -75.22,
  "delta_e_f_ev_per_atom": -0.463,
  "space_group": "I-4m2",
  "volume_a3_per_atom": 14.8,
  "lattice": [[-2.080, 2.080, 9.422], [2.080, -2.080, 9.422], [2.080, 2.080, -9.422]],
  "species": ["Li", "Ce", "P", "P", "Rh", "Rh", "Rh", "Rh", "Rh", "Rh", "Rh"],
  "fractional_positions": [[0.000, 0.000, 0.000], [0.250, 0.750, 0.500], [0.584, 0.084, 0.500], [0.916, 0.416, 0.500], [0.034, 0.534, 0.500], [0.141, 0.141, 0.000], [0.363, 0.363, 0.000], [0.466, 0.966, 0.500], [0.637, 0.637, 0.000], [0.750, 0.250, 0.500], [0.859, 0.859, 0.000]]
}

***

Record 13
{
  "formula": "Er3Sc9Sn2",
  "functional": "PBE",
  "state": "relaxed",
  "rho_g_cm3": 5.26,
  "final_energy_ev_per_cell": -80.50,
  "delta_e_f_ev_per_atom": -0.130,
  "space_group": "Immm",
  "volume_a3_per_atom": 25.8,
  "lattice": [[-2.387, 6.138, 6.161], [2.387, -6.138, 6.161], [2.387, 6.138, -6.161]],
  "species": ["Er", "Er", "Er", "Sc", "Sc", "Sc", "Sc", "Sc", "Sc", "Sc", "Sc", "Sc", "Sn", "Sn"],
  "fractional_positions": [[0.000, 0.000, 0.000], [0.288, 0.000, 0.288], [0.712, 0.000, 0.712], [0.010, 0.379, 0.631], [0.139, 0.275, 0.864], [0.251, 0.621, 0.631], [0.410, 0.275, 0.136], [0.500, 0.500, 0.000], [0.590, 0.725, 0.864], [0.749, 0.379, 0.369], [0.861, 0.725, 0.136], [0.990, 0.621, 0.369], [0.342, 0.842, 0.500], [0.658, 0.158, 0.500]]
}

***

Record 14
{
  "formula": "V2CI",
  "functional": "PBE",
  "state": "relaxed",
  "polymorph_energy_ev_per_fu": 0.00,
  "rho_g_cm3": 5.46,
  "final_energy_ev_per_cell": -54.58,
  "e_form_raw_ev_per_atom": 0.4298,
  "space_group": "I-42d",
  "volume_a3_per_atom": 18.3,
  "lattice": [[-2.702, 2.702, 5.011], [2.702, -2.702, 5.011], [2.702, 2.702, -5.011]],
  "species": ["V", "V", "V", "V", "C", "C", "I", "I"],
  "fractional_positions": [[0.010, 0.625, 0.885], [0.375, 0.260, 0.385], [0.740, 0.125, 0.115], [0.875, 0.990, 0.615], [0.000, 0.000, 0.000], [0.750, 0.250, 0.500], [0.250, 0.750, 0.500], [0.500, 0.500, 0.000]]
}

***

Record 15
{
  "formula": "YZnW2",
  "functional": "PBE",
  "state": "relaxed",
  "rho_g_cm3": 11.85,
  "final_energy_ev_per_cell": -31.42,
  "delta_e_f_ev_per_atom": 0.556,
  "space_group": "R3m",
  "volume_a3_per_atom": 18.3,
  "lattice": [[1.444, 0.834, 10.122], [-1.444, 0.834, 10.122], [0.000, -1.668, 10.122]],
  "species": ["Y", "Zn", "W", "W"],
  "fractional_positions": [[0.000, 0.000, 0.000], [0.754, 0.754, 0.754], [0.242, 0.242, 0.242], [0.496, 0.496, 0.496]]
}

***

Record 16
{
  "formula": "LiZn2As",
  "functional": "PBE",
  "state": "relaxed",
  "rho_g_cm3": 5.38,
  "final_energy_ev_per_cell": -9.80,
  "delta_e_f_ev_per_atom": -0.172,
  "space_group": "P2/m",
  "volume_a3_per_atom": 16.4,
  "lattice": [[2.953, 0.000, 0.000], [0.000, 4.931, 0.000], [-0.353, 0.000, 4.509]],
  "species": ["Li", "Zn", "Zn", "As"],
  "fractional_positions": [[0.000, 0.000, 0.000], [0.275, 0.500, 0.243], [0.725, 0.500, 0.757], [0.500, 0.000, 0.500]]
}

***

Record 17
{
  "formula": "KScSnMo2",
  "functional": "PBE",
  "state": "relaxed",
  "rho_g_cm3": 4.59,
  "final_energy_ev_per_cell": -25.26,
  "delta_e_f_ev_per_atom": 1.567,
  "space_group": "P4/mmm",
  "volume_a3_per_atom": 28.6,
  "lattice": [[5.114, 0.000, 0.000], [0.000, 5.114, 0.000], [0.000, 0.000, 5.458]],
  "species": ["K", "Sc", "Sn", "Mo", "Mo"],
  "fractional_positions": [[0.000, 0.000, 0.000], [0.500, 0.500, 0.000], [0.500, 0.500, 0.500], [0.000, 0.500, 0.500], [0.500, 0.000, 0.500]]
}

***

Record 18
{
  "formula": "Te4As2Au",
  "functional": "PBE",
  "state": "relaxed",
  "rho_g_cm3": 6.43,
  "final_energy_ev_per_cell": -24.34,
  "e_form_raw_ev_per_atom": 0.1151,
  "space_group": "I4/m",
  "volume_a3_per_atom": 31.6,
  "lattice": [[-3.868, 3.868, 3.701], [3.868, -3.868, 3.701], [3.868, 3.868, -3.701]],
  "species": ["Te", "Te", "Te", "Te", "As", "As", "Au"],
  "fractional_positions": [[0.193, 0.301, 0.494], [0.301, 0.807, 0.108], [0.699, 0.193, 0.892], [0.807, 0.699, 0.506], [0.250, 0.750, 0.500], [0.750, 0.250, 0.500], [0.000, 0.000, 0.000]]
}

***

Record 19
{
  "formula": "NdLuCuPt",
  "functional": "PBE",
  "state": "relaxed",
  "rho_g_cm3": 11.09,
  "final_energy_ev_per_cell": -22.29,
  "delta_e_f_ev_per_atom": -0.716,
  "space_group": "F-43m",
  "volume_a3_per_atom": 21.6,
  "lattice": [[0.000, 3.510, 3.510], [3.510, 0.000, 3.510], [3.510, 3.510, 0.000]],
  "species": ["Nd", "Lu", "Cu", "Pt"],
  "fractional_positions": [[0.000, 0.000, 0.000], [0.500, 0.500, 0.500], [0.750, 0.750, 0.750], [0.250, 0.250, 0.250]]
}

***

Record 20
{
  "formula": "K3YPu2O9",
  "functional": "PBE",
  "state": "relaxed",
  "rho_g_cm3": 5.89,
  "final_energy_ev_per_cell": -121.40,
  "e_form_raw_ev_per_atom": -2.5568,
  "space_group": "P-3m1",
  "volume_a3_per_atom": 15.8,
  "lattice": [[6.060, 0.000, 0.000], [-3.030, 5.248, 0.000], [0.000, 0.000, 7.433]],
  "species": ["K", "K", "K", "Y", "Pu", "Pu", "O", "O", "O", "O", "O", "O", "O", "O", "O"],
  "fractional_positions": [[0.000, 0.000, 0.000], [0.333, 0.667, 0.662], [0.667, 0.333, 0.338], [0.000, 0.000, 0.500], [0.333, 0.667, 0.165], [0.667, 0.333, 0.835], [0.000, 0.500, 0.000], [0.175, 0.350, 0.321], [0.175, 0.825, 0.321], [0.350, 0.175, 0.679], [0.500, 0.000, 0.000], [0.500, 0.500, 0.000], [0.650, 0.825, 0.321], [0.825, 0.175, 0.679], [0.825, 0.650, 0.679]]
}

***

Record 21
{
  "formula": "KMg3Pb3",
  "functional": "PBE",
  "state": "relaxed",
  "polymorph_energy_ev_per_fu": 0.14,
  "rho_g_cm3": 5.37,
  "final_energy_ev_per_cell": -34.49,
  "delta_e_f_ev_per_atom": -0.034,
  "space_group": "R-3",
  "volume_a3_per_atom": 32.4,
  "lattice": [[3.640, 2.101, 9.889], [-3.640, 2.101, 9.889], [0.000, -4.203, 9.889]],
  "species": ["K", "K", "Mg", "Mg", "Mg", "Mg", "Mg", "Mg", "Pb", "Pb", "Pb", "Pb", "Pb", "Pb"],
  "fractional_positions": [[0.178, 0.178, 0.178], [0.822, 0.822, 0.822], [0.078, 0.578, 0.263], [0.263, 0.078, 0.578], [0.422, 0.737, 0.922], [0.578, 0.263, 0.078], [0.737, 0.922, 0.422], [0.922, 0.422, 0.737], [0.186, 0.698, 0.371], [0.302, 0.629, 0.814], [0.371, 0.186, 0.698], [0.629, 0.814, 0.302], [0.698, 0.371, 0.186], [0.814, 0.302, 0.629]]
}

***

Record 22
{
  "formula": "YIn2Ir",
  "functional": "PBE",
  "state": "relaxed",
  "rho_g_cm3": 9.85,
  "final_energy_ev_per_cell": -21.75,
  "delta_e_f_ev_per_atom": -0.237,
  "space_group": "P4/mmm",
  "volume_a3_per_atom": 21.5,
  "lattice": [[3.370, 0.000, 0.000], [0.000, 3.370, 0.000], [0.000, 0.000, 7.585]],
  "species": ["Y", "In", "In", "Ir"],
  "fractional_positions": [[0.000, 0.000, 0.000], [0.500, 0.500, 0.295], [0.500, 0.500, 0.705], [0.000, 0.000, 0.500]]
}

***

Record 23
{
  "formula": "SrAlTl",
  "functional": "PBE",
  "state": "relaxed",
  "rho_g_cm3": 6.04,
  "final_energy_ev_per_cell": -17.09,
  "delta_e_f_ev_per_atom": -0.251,
  "space_group": "P4/nmm",
  "volume_a3_per_atom": 29.2,
  "lattice": [[4.718, 0.000, 0.000], [0.000, 4.718, 0.000], [0.000, 0.000, 7.875]],
  "species": ["Sr", "Sr", "Al", "Al", "Tl", "Tl"],
  "fractional_positions": [[0.250, 0.250, 0.183], [0.750, 0.750, 0.817], [0.250, 0.750, 0.500], [0.750, 0.250, 0.500], [0.250, 0.250, 0.730], [0.750, 0.750, 0.270]]
}

***

Record 24
{
  "formula": "YAg2Sb",
  "functional": "PBE",
  "state": "relaxed",
  "rho_g_cm3": 7.79,
  "final_energy_ev_per_cell": -17.80,
  "e_form_raw_ev_per_atom": -0.3787,
  "space_group": "I4/mmm",
  "volume_a3_per_atom": 22.7,
  "lattice": [[-2.192, 2.192, 4.732], [2.192, -2.192, 4.732], [2.192, 2.192, -4.732]],
  "species": ["Y", "Ag", "Ag", "Sb"],
  "fractional_positions": [[0.000, 0.000, 0.000], [0.250, 0.750, 0.500], [0.750, 0.250, 0.500], [0.500, 0.500, 0.000]]
}

***

Record 25
{
  "formula": "Pr3Sm2Te5",
  "functional": "PBE",
  "state": "relaxed",
  "rho_g_cm3": 7.03,
  "final_energy_ev_per_cell": -53.68,
  "e_form_raw_ev_per_atom": -1.4196,
  "space_group": "C2/m",
  "volume_a3_per_atom": 32.1,
  "lattice": [[7.489, -2.246, 0.000], [7.489, 2.246, 0.000], [-5.418, 0.000, 9.556]],
  "species": ["Pr", "Pr", "Pr", "Sm", "Sm", "Te", "Te", "Te", "Te", "Te"],
  "fractional_positions": [[0.000, 0.000, 0.000], [0.204, 0.204, 0.802], [0.796, 0.796, 0.198], [0.402, 0.402, 0.599], [0.598, 0.598, 0.401], [0.000, 0.000, 0.500], [0.199, 0.199, 0.307], [0.402, 0.402, 0.105], [0.598, 0.598, 0.895], [0.801, 0.801, 0.693]]
}